Compound: Cs2RbPdF
Source: the Alexandria database
Functional: PBE-GGA
Structure: optimized geometry

Total magnetization = 0.000 Bohr magnetons per cell
Final energy = -2.934 eV per atom

abc: 5.8253 5.8253 5.5261
angles: 90.00 90.00 90.00
Last column: nearest neighbours and their distance in Å.
Space group P4/mmm (No. 123)
Unique sites:
1 Cs 0.0000 0.5000 0.0000  2 F 2.91
2 Rb 0.0000 0.0000 0.5000  2 F 2.76
3 Pd 0.5000 0.5000 0.5000  8 Cs 4.01, 4 Rb 4.12
4 F 0.0000 0.0000 0.0000  2 Rb 2.76, 4 Cs 2.91


Compound: CsRbPdF6
Source: the Alexandria database
Functional: PBE-GGA
Structure: optimized geometry

Total magnetization = 0.000 Bohr magnetons per cell
Final energy = -4.137 eV per atom
Fermi-level density of states = 0.00 states/eV per cell

abc: 6.1742 6.1742 5.1152
angles: 90.00 90.00 120.00
Last column: nearest neighbours and their distance in Å.
Space group P3m1 (No. 156)
Unique sites:
1 Cs 0.0000 0.0000 0.0000  12 F 3.13-3.29
2 Rb 0.6667 0.3333 0.4355  12 F 3.07-3.34
3 Pd 0.3333 0.6667 0.6922  6 F 1.96
4 F 0.0268 0.5134 0.9027  1 Pd 1.96
5 F 0.1812 0.3623 0.4797  1 Pd 1.96


Compound: Cs2RbPdF6
Source: the Alexandria database
Functional: PBE-GGA
Structure: optimized geometry

Total magnetization = 2.000 Bohr magnetons per cell
Final energy = -4.153 eV per atom
Fermi-level density of states = 0.00 states/eV per cell

abc: 6.6091 6.6091 9.8142
angles: 90.00 90.00 90.00
Last column: nearest neighbours and their distance in Å.
Space group I4/mmm (No. 139)
Unique sites:
1 Cs 0.0000 0.5000 0.2500  12 F 3.31-3.41
2 Rb 0.0000 0.0000 0.0000  6 F 2.68
3 Pd 0.0000 0.0000 0.5000  6 F 2.00-2.23
4 F 0.0000 0.0000 0.2729  1 Pd 2.23
5 F 0.2138 0.2138 0.5000  1 Pd 2.00


Compound: CsRb2PdF
Source: the Alexandria database
Functional: PBE-GGA
Structure: optimized geometry

Total magnetization = 0.000 Bohr magnetons per cell
Final energy = -2.956 eV per atom

abc: 5.5259 5.5259 5.8218
angles: 90.00 90.00 90.00
Last column: nearest neighbours and their distance in Å.
Space group P4/mmm (No. 123)
Unique sites:
1 Cs 0.0000 0.0000 0.0000  2 F 2.91
2 Rb 0.0000 0.5000 0.5000  2 F 2.76
3 Pd 0.5000 0.5000 0.0000  4 Cs 3.91, 8 Rb 4.01
4 F 0.0000 0.0000 0.5000  4 Rb 2.76, 2 Cs 2.91


Compound: Cs2RePdF6
Source: the Alexandria database
Functional: PBE-GGA
Structure: optimized geometry

Total magnetization = 6.000 Bohr magnetons per cell
Final energy = -4.984 eV per atom
Fermi-level density of states = 0.00 states/eV per cell

abc: 6.4814 6.4814 9.9048
angles: 90.00 90.00 90.00
Last column: nearest neighbours and their distance in Å.
Space group I4/mmm (No. 139)
Unique sites:
1 Cs 0.0000 0.5000 0.2500  12 F 3.28-3.39
2 Re 0.0000 0.0000 0.0000  6 F 2.00
3 Pd 0.0000 0.0000 0.5000  4 F 2.58
4 F 0.0000 0.0000 0.2016  1 Re 2.00
5 F 0.2185 0.2185 0.0000  1 Re 2.00


Compound: CsPdRhF6
Source: the Alexandria database
Functional: PBE-GGA
Structure: optimized geometry

Total magnetization = 7.980 Bohr magnetons per cell
Final energy = -4.476 eV per atom

abc: 7.5946 7.6878 10.9094
angles: 90.00 90.00 90.00
Last column: nearest neighbours and their distance in Å.
Space group Imma (No. 74)
Unique sites:
1 Cs 0.0000 0.2500 0.1240  6 F 3.10-3.38
2 Pd 0.0000 0.0000 0.5000  6 F 2.17-2.20
3 Rh 0.2500 0.2500 0.7500  6 F 2.01-2.02
4 F 0.0000 0.2500 0.4077  2 Pd 2.17
5 F 0.0000 0.2500 0.8141  2 Rh 2.02
6 F 0.2183 0.0600 0.6256  1 Rh 2.01, 1 Pd 2.20